Computed, not measured: a relaxed structure of KTa2As at the PBE level of DFT.

For the size of the total moment, the calculation gives 0.00 Bohr magnetons per cell. Its space group is C2/m, No. 12. The final energy comes out at -25.8 eV per cell. Its calculated formation energy is 0.9240 eV per atom.

abc: 6.3663 5.5291 2.7470
angles: 91.79 76.74 116.17
With the nearest neighbours (Å) after each atom.
Element x y z (fractional)
K 0.5000 0.0000 0.5000  2 K 2.75, 2 As 3.05
Ta 0.0000 0.0000 0.0000  4 Ta 2.75-3.05
Ta 0.0000 0.5000 0.5000  4 Ta 2.75-3.05
As 0.5000 0.5000 0.0000  2 As 2.75, 2 K 3.05


Computed, not measured: a relaxed structure of K4TaAs at the PBE level of DFT.

For the size of the total moment, the calculation gives 4.95 Bohr magnetons per cell. Its space group is F-43m, No. 216. The final energy comes out at -14.0 eV per cell. Its calculated formation energy is 1.1564 eV per atom.

abc: 6.6490 6.6490 6.6490
angles: 60.00 60.00 60.00
With the nearest neighbours (Å) after each atom.
Element x y z (fractional)
K 0.8784 0.3739 0.3739  6 K 3.29-3.35
K 0.3739 0.3739 0.8784  6 K 3.29-3.35
K 0.3739 0.3739 0.3739  6 K 3.29-3.35
K 0.3739 0.8784 0.3739  6 K 3.29-3.35
Ta 0.7500 0.7500 0.7500  12 K 3.90, 4 As 4.07
As 0.0000 0.0000 0.0000  12 K 3.90, 4 Ta 4.07


Computed, not measured: a relaxed structure of KTa2As at the PBE level of DFT.

For the size of the total moment, the calculation gives 0.00 Bohr magnetons per cell. Its space group is P2/m, No. 10. The final energy comes out at -25.9 eV per cell. Its calculated formation energy is 0.8773 eV per atom.

abc: 5.4688 2.7871 5.4998
angles: 91.41 90.00 90.00
With the nearest neighbours (Å) after each atom.
Element x y z (fractional)
Ta 0.0000 0.4284 0.4979  4 Ta 2.79-2.97, 2 As 3.09
Ta 0.0000 0.0716 0.0021  4 Ta 2.79-2.97, 2 As 3.09
As 0.5000 0.2500 0.2500  2 As 2.79, 4 K 3.05-3.11, 4 Ta 3.09
K 0.5000 0.7500 0.7500  2 K 2.79, 4 As 3.05-3.11


Computed, not measured: a relaxed structure of K3TaAs at the PBE level of DFT.

For the size of the total moment, the calculation gives 3.00 Bohr magnetons per cell. Its space group is Pm-3m, No. 221. As for the energy above the most stable polymorph in this dataset: 160 kJ/mol of formula units. The final energy comes out at -12.2 eV per cell. Its calculated formation energy is 1.5249 eV per atom.

abc: 6.4969 6.4969 6.4969
angles: 90.00 90.00 90.00
With the nearest neighbours (Å) after each atom.
Element x y z (fractional)
Ta 0.0000 0.0000 0.0000  6 K 3.25
As 0.5000 0.5000 0.5000  12 K 4.59
K 0.0000 0.5000 0.0000  2 Ta 3.25
K 0.5000 0.0000 0.0000  2 Ta 3.25
K 0.0000 0.0000 0.5000  2 Ta 3.25


Computed, not measured: a relaxed structure of K2TaAs2 at the PBE level of DFT.

For the size of the total moment, the calculation gives 0.00 Bohr magnetons per cell. Its space group is I4/mmm, No. 139. As for the energy above the most stable polymorph in this dataset: 242 kJ/mol of formula units. The final energy comes out at -20.8 eV per cell. Its calculated formation energy is 0.5102 eV per atom.

abc: 3.8102 3.8102 7.9028
angles: 76.05 76.05 90.00
With the nearest neighbours (Å) after each atom.
Element x y z (fractional)
As 0.4155 0.4155 0.1689  1 As 2.51
As 0.5845 0.5845 0.8311  1 As 2.51
K 0.7500 0.2500 0.5000  4 K 2.69
K 0.2500 0.7500 0.5000  4 K 2.69
Ta 0.0000 0.0000 0.0000  8 As 2.97


Computed, not measured: a relaxed structure of KTa2As at the PBE level of DFT.

For the size of the total moment, the calculation gives 0.00 Bohr magnetons per cell. Its space group is Cmmm, No. 65. The final energy comes out at -26.9 eV per cell. Its calculated formation energy is 0.6358 eV per atom.

abc: 3.0150 3.0150 10.3727
angles: 90.00 90.00 110.79
With the nearest neighbours (Å) after each atom.
Element x y z (fractional)
As 0.5000 0.5000 0.2500  4 Ta 2.60
Ta 0.0000 0.0000 0.0616  2 As 2.60
Ta 0.0000 0.0000 0.4384  2 As 2.60
K 0.5000 0.5000 0.7500  4 K 3.02


Computed, not measured: a relaxed structure of KTaAs at the PBE level of DFT.

For the size of the total moment, the calculation gives 0.00 Bohr magnetons per cell. Its space group is P3m1, No. 156. As for the energy above the most stable polymorph in this dataset: 210 kJ/mol of formula units. The final energy comes out at -16.4 eV per cell. Its calculated formation energy is 0.4022 eV per atom.

abc: 3.1702 3.1702 7.9293
angles: 90.00 90.00 120.00
With the nearest neighbours (Å) after each atom.
Element x y z (fractional)
K 0.3333 0.6667 0.3145  6 K 3.17, 3 As 3.31
Ta 0.6667 0.3333 0.7184  3 As 2.69
As 0.0000 0.0000 0.9671  3 Ta 2.69


Computed, not measured: a relaxed structure of KTa2As at the PBE level of DFT.

For the size of the total moment, the calculation gives 0.00 Bohr magnetons per cell. Its space group is P4/mmm, No. 123. The final energy comes out at -25.0 eV per cell. Its calculated formation energy is 1.1138 eV per atom.

abc: 4.7875 4.1513 4.1513
angles: 90.00 90.00 90.00
With the nearest neighbours (Å) after each atom.
Element x y z (fractional)
Ta 0.0000 0.0000 0.0000  4 Ta 2.94, 4 As 3.17, 4 K 3.17
Ta 0.0000 0.5000 0.5000  4 Ta 2.94, 4 As 3.17, 4 K 3.17
K 0.5000 0.0000 0.5000  4 As 2.94, 8 Ta 3.17
As 0.5000 0.5000 0.0000  4 K 2.94, 8 Ta 3.17


Computed, not measured: a relaxed structure of KTaAs at the PBE level of DFT.

For the size of the total moment, the calculation gives 0.00 Bohr magnetons per cell. Its space group is P-6m2, No. 187. As for the energy above the most stable polymorph in this dataset: 340 kJ/mol of formula units. The final energy comes out at -15.0 eV per cell. Its calculated formation energy is 0.8506 eV per atom.

abc: 5.0346 5.0346 2.9673
angles: 90.00 90.00 120.00
With the nearest neighbours (Å) after each atom.
Element x y z (fractional)
K 0.6667 0.3333 0.3333  2 K 2.97, 6 As 3.26, 6 Ta 3.26
As 0.0000 0.0000 0.8332  3 Ta 2.91, 2 As 2.97
Ta 0.3333 0.6667 0.8334  3 As 2.91, 2 Ta 2.97


Computed, not measured: a relaxed structure of KTa2As at the PBE level of DFT.

For the size of the total moment, the calculation gives 0.00 Bohr magnetons per cell. Its space group is P4mm, No. 99. The final energy comes out at -28.2 eV per cell. Its calculated formation energy is 0.3085 eV per atom.

abc: 2.9516 2.9516 9.9832
angles: 90.00 90.00 90.00
With the nearest neighbours (Å) after each atom.
Element x y z (fractional)
K 0.5000 0.5000 0.7212  4 K 2.95
As 0.0000 0.0000 0.4596  4 Ta 2.82, 4 As 2.95
Ta 0.0000 0.0000 0.0500  8 Ta 2.95-3.02
Ta 0.5000 0.5000 0.2692  4 As 2.82, 8 Ta 2.95-3.02


Computed, not measured: a relaxed structure of KTa3As at the PBE level of DFT.

For the size of the total moment, the calculation gives 0.00 Bohr magnetons per cell. Its space group is Pm-3m, No. 221. As for the energy above the most stable polymorph in this dataset: 0 kJ/mol of formula units. The final energy comes out at -34.7 eV per cell. Its calculated formation energy is 1.3117 eV per atom.

abc: 4.9213 4.9213 4.9213
angles: 90.00 90.00 90.00
With the nearest neighbours (Å) after each atom.
Element x y z (fractional)
K 0.5000 0.5000 0.5000  12 Ta 3.48
Ta 0.0000 0.5000 0.0000  2 As 2.46
Ta 0.0000 0.0000 0.5000  2 As 2.46
Ta 0.5000 0.0000 0.0000  2 As 2.46
As 0.0000 0.0000 0.0000  6 Ta 2.46


Computed, not measured: a relaxed structure of K6TaAs4 at the PBE level of DFT.

For the size of the total moment, the calculation gives 2.28 Bohr magnetons per cell. Its space group is P6_3mc, No. 186. The final energy comes out at -84.6 eV per cell. Its calculated formation energy is -0.4782 eV per atom.

abc: 8.2600 10.4525 10.4525
angles: 120.00 90.00 90.00
With the nearest neighbours (Å) after each atom.
Element x y z (fractional)
As 0.3409 0.4028 0.2014  1 Ta 2.51
As 0.9464 0.6667 0.3333  1 Ta 2.49
As 0.8409 0.5972 0.7986  1 Ta 2.51
As 0.3409 0.7986 0.5972  1 Ta 2.51
As 0.8409 0.2014 0.7986  1 Ta 2.51
As 0.8409 0.2014 0.4028  1 Ta 2.51
As 0.4464 0.3333 0.6667  1 Ta 2.49
As 0.3409 0.7986 0.2014  1 Ta 2.51
K 0.1370 0.0640 0.5320  5 As 3.44-3.59, 1 Ta 3.71, 2 K 3.82
K 0.4549 0.1446 0.2892  4 As 3.35-3.42
K 0.9549 0.2892 0.1446  4 As 3.35-3.42
K 0.1370 0.4680 0.5320  5 As 3.44-3.59, 1 Ta 3.71, 2 K 3.82
K 0.1370 0.4680 0.9360  5 As 3.44-3.59, 1 Ta 3.71, 2 K 3.82
K 0.9549 0.8554 0.1446  4 As 3.35-3.42
K 0.6370 0.5320 0.0640  5 As 3.44-3.59, 1 Ta 3.71, 2 K 3.82
K 0.6370 0.5320 0.4680  5 As 3.44-3.59, 1 Ta 3.71, 2 K 3.82
K 0.6370 0.9360 0.4680  5 As 3.44-3.59, 1 Ta 3.71, 2 K 3.82
K 0.9549 0.8554 0.7108  4 As 3.35-3.42
K 0.4549 0.7108 0.8554  4 As 3.35-3.42
K 0.4549 0.1446 0.8554  4 As 3.35-3.42
Ta 0.7476 0.3333 0.6667  4 As 2.49-2.51
Ta 0.2476 0.6667 0.3333  4 As 2.49-2.51